The following is a PBE calculation of a geometry-optimized MgZnOs3 structure, from the Alexandria database.

polymorph energy (0 for the lowest one) = 0 meV per atom
calculated volume = 92 Å³ per cell
DOS(E_F) = 6.66 states/eV per cell
raw total energy = -27.35 eV per formula unit
ΔE_f = 1841 meV per atom

The structure in POSCAR format:
```
MgZnOs3
1.0
4.520 0.000 0.000
0.000 4.520 0.000
0.000 0.000 4.520
Mg Os Zn
1 3 1
Direct
0.500 0.500 0.500
0.000 0.000 0.500
0.000 0.500 0.000
0.500 0.000 0.000
0.000 0.000 0.000
```



The following is a PBE calculation of a geometry-optimized PmU2PaAs4 structure, from the Alexandria database.

calculated volume = 198 Å³ per cell
DOS(E_F) = 18.09 states/eV per cell
raw total energy = -63.30 eV per formula unit
ΔE_f = -985 meV per atom

The structure in POSCAR format:
```
PmU2PaAs4
1.0
-2.213 -1.695 -2.992
5.769 -3.519 -2.274
0.344 -6.350 3.343
Pa U As Pm
1 2 4 1
Direct
0.000 0.500 0.500
0.000 0.000 0.000
0.500 0.000 0.500
0.000 0.757 0.743
0.000 0.243 0.257
0.500 0.247 0.747
0.500 0.753 0.253
0.500 0.500 0.000
```



The following is a PBE calculation of a geometry-optimized Dy5Sc2In structure, from the Alexandria database.

calculated volume = 457 Å³ per cell
DOS(E_F) = 30.20 states/eV per cell
raw total energy = -38.45 eV per formula unit
ΔE_f = -4 meV per atom

The structure in POSCAR format:
```
Dy5Sc2In
1.0
-7.180 -1.942 -4.108
-1.802 -5.835 5.908
1.383 8.256 2.466
Dy In Sc
10 2 4
Direct
0.686 0.186 0.679
0.186 0.992 0.679
0.508 0.314 0.321
0.500 0.500 0.000
0.492 0.686 0.679
0.000 0.000 0.000
0.814 0.008 0.321
0.314 0.814 0.321
0.008 0.508 0.321
0.992 0.492 0.679
0.250 0.250 0.500
0.750 0.750 0.500
0.860 0.640 0.000
0.640 0.140 0.000
0.360 0.860 0.000
0.140 0.360 0.000
```



- raw total energy of number 3 (Dy5Sc2In)?
  -38.45 eV per formula unit



- Look up the DOS(E_F) of the second one.
  18.09 states/eV per cell



Copy entry 2 word for word.
The following is a PBE calculation of a geometry-optimized PmU2PaAs4 structure, from the Alexandria database.

calculated volume = 198 Å³ per cell
DOS(E_F) = 18.09 states/eV per cell
raw total energy = -63.30 eV per formula unit
ΔE_f = -985 meV per atom

The structure in POSCAR format:
```
PmU2PaAs4
1.0
-2.213 -1.695 -2.992
5.769 -3.519 -2.274
0.344 -6.350 3.343
Pa U As Pm
1 2 4 1
Direct
0.000 0.500 0.500
0.000 0.000 0.000
0.500 0.000 0.500
0.000 0.757 0.743
0.000 0.243 0.257
0.500 0.247 0.747
0.500 0.753 0.253
0.500 0.500 0.000
```